[1]
YTeRu2 | SCAN | PBEsol geometry

```
YTeRu2
1.0
-2.184 0.142 -2.794
-0.716 -4.363 0.337
-3.421 0.771 2.714
Te Y Ru
1 1 2
Cartesian
-3.161 -1.725 0.129 Te
-1.092 0.071 -1.397 Y
-0.358 -2.182 0.169 Ru
-1.711 0.386 1.357 Ru
```

Computed properties:
formation energy from raw total energies	-0.29	eV/atom

[2]
InPt2F | SCAN | PBEsol geometry

```
InPt2F
1.0
4.395 0.000 0.000
2.198 3.806 0.000
2.198 1.269 3.589
In Pt F
1 2 1
Cartesian
4.395 2.537 1.794 In
2.198 1.269 0.897 Pt
6.593 3.806 2.691 Pt
0.000 0.000 0.000 F
```

Computed properties:
formation energy from raw total energies	-0.33	eV/atom

[3]
Zr2W | SCAN | PBEsol geometry

```
Zr2W
1.0
-2.801 -0.412 0.092
0.533 -2.736 3.994
0.712 4.977 0.345
Zr W
2 1
Cartesian
-1.274 -0.446 2.834 Zr
-0.282 2.275 1.596 Zr
0.000 0.000 0.000 W
```

Computed properties:
formation energy	299.2	meV/atom

[4]
CaIrOs2 | SCAN | PBEsol geometry

```
CaIrOs2
1.0
3.883 0.000 0.000
0.000 3.883 0.000
-1.942 -1.942 4.163
Ir Os Ca
1 2 1
Cartesian
0.000 0.000 0.000 Ir
1.942 0.000 2.081 Os
0.000 1.942 2.081 Os
1.942 1.942 0.000 Ca
```

Computed properties:
formation energy	600.8	meV/atom
offset from the most stable computed form	0.384	eV/atom

[5]
TaSb2HI | SCAN | PBEsol geometry

```
TaSb2HI
1.0
-4.444 2.800 -0.643
-0.316 -1.653 -5.017
-3.020 -4.416 1.645
I Ta Sb H
1 1 2 1
Cartesian
-1.510 -2.208 0.822 I
0.000 0.000 0.000 Ta
-0.158 -0.826 -2.509 Sb
-2.222 1.400 -0.321 Sb
-3.890 -1.635 -2.007 H
```

[6]
Fe2SiMo | SCAN | PBEsol geometry

```
Fe2SiMo
1.0
2.710 0.000 0.000
0.000 2.710 0.000
0.000 0.000 6.182
Fe Si Mo
2 1 1
Cartesian
0.000 0.000 4.436 Fe
0.000 0.000 1.746 Fe
1.355 1.355 3.091 Si
1.355 1.355 0.000 Mo
```

Computed properties:
formation energy from raw total energies	-0.13	eV/atom

[7]
K2Al2Sb3 | SCAN | PBEsol geometry

```
K2Al2Sb3
1.0
-1.826 3.025 -6.250
-10.276 -10.348 -2.007
-10.999 9.638 7.878
Sb K Al
24 16 16
Cartesian
-3.581 0.592 -2.384 Sb
-8.348 4.197 4.063 Sb
-6.313 0.532 -5.692 Sb
-15.705 -0.270 1.785 Sb
-16.498 0.948 -0.717 Sb
-15.527 4.248 2.155 Sb
-7.395 2.585 -2.163 Sb
-6.603 1.367 0.338 Sb
-13.165 7.852 0.850 Sb
-12.018 6.047 4.566 Sb
-8.658 7.849 1.928 Sb
-11.101 4.171 0.684 Sb
-19.152 -2.025 4.339 Sb
-16.787 1.783 5.314 Sb
-14.443 -5.534 -2.307 Sb
-19.520 1.723 2.005 Sb
-14.753 -1.882 -4.441 Sb
-3.949 4.340 -4.717 Sb
-11.083 -3.731 -4.945 Sb
-7.573 -1.933 -2.534 Sb
-10.802 0.712 -4.434 Sb
-12.000 -1.856 -1.063 Sb
-12.298 1.603 4.056 Sb
-9.936 -5.537 -1.229 Sb
-12.461 -1.592 2.495 K
-6.808 5.929 -3.132 K
-14.492 4.175 5.850 K
-15.392 7.488 3.623 K
-13.374 1.744 0.223 K
-9.726 0.571 -0.602 K
-8.609 -1.859 -6.228 K
-16.293 -3.614 2.754 K
-12.412 8.197 7.356 K
-15.380 -2.402 -1.030 K
-7.708 -5.173 -4.001 K
-10.689 -5.882 -7.735 K
-10.640 3.907 -2.874 K
-11.592 -7.109 -3.921 K
-7.721 4.717 0.651 K
-11.508 9.424 3.542 K
-4.049 2.109 -0.195 Al
-13.701 -4.366 -4.633 Al
-17.456 3.026 0.683 Al
-8.168 0.438 -3.714 Al
-12.091 -1.569 -3.718 Al
-19.051 0.206 -0.183 Al
-14.932 1.877 3.335 Al
-12.425 -4.541 -0.787 Al
-9.400 6.681 4.255 Al
-11.010 3.884 3.339 Al
-13.612 5.164 0.417 Al
-9.489 -2.849 -0.795 Al
-5.245 2.152 -3.769 Al
-5.645 -0.711 -1.061 Al
-17.855 0.163 3.390 Al
-10.675 6.856 0.408 Al
```

Computed properties:
formation energy from raw total energies	-0.44	eV/atom

[8]
HgPtAu2 | SCAN | PBEsol geometry

```
HgPtAu2
1.0
2.944 0.027 0.000
-0.027 2.944 0.000
0.000 0.000 7.919
Au Pt Hg
2 1 1
Cartesian
1.458 1.485 6.008 Au
0.000 0.000 0.053 Au
1.458 1.485 1.933 Pt
0.000 0.000 3.885 Hg
```

Computed properties:
formation energy	80.4	meV/atom

[9]
Zr6FeCl14 | SCAN | PBEsol geometry

```
Zr6FeCl14
1.0
9.622 -0.043 0.000
-1.081 9.561 0.000
0.000 0.000 11.705
Cl Fe Zr
28 2 12
Cartesian
2.917 8.634 2.926 Cl
7.662 5.889 0.089 Cl
5.619 6.262 3.029 Cl
8.269 3.831 2.926 Cl
3.512 1.265 11.616 Cl
5.149 8.387 5.942 Cl
5.028 8.252 0.089 Cl
6.951 2.353 0.000 Cl
2.922 3.256 8.676 Cl
5.623 0.884 8.779 Cl
7.192 8.014 8.882 Cl
0.272 5.686 8.779 Cl
7.783 6.024 5.942 Cl
0.758 3.494 5.763 Cl
2.216 5.117 2.906 Cl
1.590 7.164 0.000 Cl
-0.503 7.557 2.947 Cl
6.941 2.362 5.853 Cl
3.692 6.762 8.799 Cl
9.044 1.960 8.759 Cl
7.567 0.315 2.947 Cl
6.325 4.400 8.799 Cl
3.391 1.130 5.763 Cl
1.600 7.155 5.853 Cl
4.848 2.755 2.906 Cl
1.349 1.503 2.823 Cl
0.974 9.202 8.759 Cl
0.879 3.628 11.616 Cl
4.270 4.759 0.000 Fe
0.000 0.000 5.853 Fe
0.841 9.096 4.450 Zr
-0.412 7.701 7.256 Zr
3.601 6.619 1.403 Zr
5.588 6.227 10.384 Zr
2.953 3.291 1.322 Zr
7.223 8.049 4.531 Zr
1.317 1.468 7.174 Zr
6.192 4.294 1.403 Zr
7.700 0.421 7.256 Zr
8.953 1.817 4.450 Zr
4.939 2.898 10.302 Zr
2.349 5.223 10.302 Zr
```

Computed properties:
formation energy from raw total energies	-1.90	eV/atom

[10]
RbNbReW2 | SCAN | PBEsol geometry

```
RbNbReW2
1.0
4.567 0.000 0.000
0.000 4.583 0.000
0.000 0.000 4.583
Rb Re W Nb
1 1 2 1
Cartesian
0.000 0.000 0.000 Rb
2.284 0.000 0.000 Re
0.000 2.291 0.000 W
0.000 0.000 2.291 W
2.284 2.291 2.291 Nb
```

Computed properties:
formation energy	3948.5	meV/atom

[11]
Lu6Sb2Mo | SCAN | PBEsol geometry

```
Lu6Sb2Mo
1.0
4.209 0.000 0.000
0.000 7.875 0.000
0.000 -3.938 6.820
Lu Mo Sb
6 1 2
Cartesian
2.104 -2.390 4.139 Lu
0.000 -0.942 1.631 Lu
2.104 4.779 0.000 Lu
0.000 1.884 0.000 Lu
2.104 1.548 2.681 Lu
0.000 2.996 5.189 Lu
2.104 0.000 0.000 Mo
0.000 3.938 2.273 Sb
0.000 0.000 4.547 Sb
```

Computed properties:
formation energy from raw total energies	-0.58	eV/atom

[12]
CrTcW2 | SCAN | PBEsol geometry

```
CrTcW2
1.0
-0.008 -1.554 2.171
0.910 -1.391 -2.089
7.937 2.482 1.805
W Tc Cr
2 1 1
Cartesian
6.301 0.357 1.371 W
0.032 0.010 0.007 W
2.545 -0.817 0.517 Tc
3.929 1.229 0.894 Cr
```

Computed properties:
formation energy	96.8	meV/atom
offset from the most stable computed form	0.078	eV/atom

[13]
CrNiP2 | SCAN | PBEsol geometry

```
CrNiP2
1.0
-1.881 1.289 -1.297
-0.443 -0.525 -2.532
-6.798 -6.143 1.104
P Ni Cr
2 1 1
Cartesian
-6.438 -3.604 -2.203 P
-2.750 0.312 -3.660 P
-2.345 -1.413 -0.656 Ni
-4.475 -2.598 -1.396 Cr
```

Computed properties:
formation energy	180.7	meV/atom

[14]
La2TlZn2 | SCAN | PBEsol geometry

```
La2TlZn2
1.0
3.974 0.000 0.000
0.000 7.971 0.000
0.000 0.000 7.971
La Zn Tl
4 4 2
Cartesian
1.987 5.405 6.552 La
1.987 1.419 5.405 La
1.987 2.567 1.419 La
1.987 6.552 2.567 La
0.000 3.059 7.045 Zn
0.000 0.926 3.059 Zn
0.000 7.045 4.912 Zn
0.000 4.912 0.926 Zn
0.000 0.000 0.000 Tl
0.000 3.986 3.986 Tl
```

Computed properties:
formation energy	-431.3	meV/atom

[15]
SiC3 | SCAN | PBEsol geometry

```
SiC3
1.0
-0.286 -1.678 -1.743
-0.905 -1.211 3.016
-4.814 1.638 -0.787
Si C
1 3
Cartesian
-2.550 -0.020 -1.265 Si
-3.857 1.312 -0.630 C
-0.143 -0.839 -0.871 C
-0.957 0.326 -0.156 C
```

Computed properties:
formation energy from raw total energies	2.14	eV/atom

[16]
ScBi2C | SCAN | PBEsol geometry

```
ScBi2C
1.0
6.183 0.086 0.140
-2.239 5.764 -0.140
-2.239 -2.745 5.071
Bi Sc C
4 2 2
Cartesian
-2.502 3.815 2.171 Bi
2.828 0.860 0.686 Bi
-0.003 1.490 3.152 Bi
3.088 0.045 4.133 Bi
0.000 0.000 0.000 Sc
0.853 3.680 1.233 Sc
-2.239 1.510 2.465 C
0.853 -0.575 3.838 C
```

Computed properties:
formation energy	825.0	meV/atom

[17]
Ta2AlPbAu | SCAN | PBEsol geometry

```
Ta2AlPbAu
1.0
-2.314 -4.082 -1.618
3.391 -2.924 2.526
-3.031 0.073 4.152
Au Ta Pb Al
1 2 1 1
Cartesian
-1.157 -2.041 -0.809 Au
1.696 -1.462 1.263 Ta
-1.515 0.036 2.076 Ta
0.000 0.000 0.000 Pb
-0.977 -3.467 2.530 Al
```

Computed properties:
formation energy	2093.0	meV/atom

[18]
NaNiSe3 | SCAN | PBEsol geometry

```
NaNiSe3
1.0
-4.510 1.043 0.942
0.272 -2.461 4.023
1.379 3.895 2.289
Se Na Ni
3 1 1
Cartesian
-2.255 0.521 0.471 Se
0.136 -1.230 2.011 Se
0.689 1.947 1.145 Se
-1.430 1.238 3.627 Na
0.000 0.000 0.000 Ni
```

Computed properties:
formation energy from raw total energies	-0.15	eV/atom

[19]
Rh2WAu | SCAN | PBEsol geometry

```
Rh2WAu
1.0
-1.253 -2.432 -0.297
-0.647 -1.494 2.218
-8.706 2.799 1.053
Rh Au W
2 1 1
Cartesian
-7.937 -0.854 2.230 Rh
-8.639 2.765 1.050 Rh
-2.635 -0.290 0.743 Au
-5.404 -0.512 1.492 W
```

Computed properties:
formation energy	131.7	meV/atom
offset from the most stable computed form	0.252	eV/atom

[20]
Sc2ZnAu | SCAN | PBEsol geometry

```
Sc2ZnAu
1.0
-1.653 2.792 -0.069
-3.726 -2.251 -1.812
0.440 -1.499 5.149
Sc Zn Au
2 1 1
Cartesian
-4.779 -0.865 3.176 Sc
-2.124 0.681 2.128 Sc
-2.622 0.317 -0.701 Zn
-3.044 -1.778 0.992 Au
```

Computed properties:
formation energy	-619.1	meV/atom

| no. | theoretical density (g cm⁻³) | total energy (eV/atom) |
| --- | --- | --- |
| 1 | 9.96 | -33.98 |
| 2 | 14.49 | -44.66 |
| 3 | 10.55 | -43.40 |
| 4 | 16.21 | -55.53 |
| 5 | 5.85 | -35.44 |
| 6 | 8.62 | -20.42 |
| 7 | 3.76 | -21.00 |
| 8 | 19.10 | -69.09 |
| 9 | 3.39 | -16.86 |
| 10 | 12.68 | -48.92 |
| 11 | 10.21 | -49.63 |
| 12 | 15.04 | -48.11 |
| 13 | 5.28 | -13.66 |
| 14 | 8.06 | -37.55 |
| 15 | 2.70 | -7.94 |
| 16 | 8.67 | -44.55 |
| 17 | 10.04 | -55.08 |
| 18 | 5.02 | -16.27 |
| 19 | 16.38 | -51.47 |
| 20 | 7.85 | -28.41 |